Density functional theory data (PBE-GGA) for a relaxed CeTcGeO crystal.

Computed properties:
calculated volume = 17.34 A^3/atom
E_form (uncorrected) = -1.573 eV per atom
energy = -8.042 eV per atom
Fermi-level density of states = 1.41 states/eV/atom

The structure in extended XYZ format:
```
8
Lattice="-1.9575 2.1680 -2.6905 -3.3505 -0.4351 2.0870 1.8713 7.3084 4.5279" Properties=species:S:1:pos:R:3 pbc="T T T"
Ce 0.2183 5.7591 1.5512
Ce -1.0010 2.4158 2.6750
Tc -2.6540 0.8665 -0.3017
Tc 0.0000 0.0000 0.0000
Ge -0.1417 5.7717 4.7541
Ge -0.6409 2.4032 -0.5279
O 0.9357 3.6542 2.2639
O -1.7183 4.5207 1.9622
```